A relaxed structure of Ac4Tb2Nd, computed with PBE.

Values from the calculation:
Volume, Å³ per cell: 556
Symmetry: Cc (9)
D(E_F), states/eV/atom: 1.55
Energy of formation from the pure elements, eV per atom: 0.0889

Unit cell a=7.224 b=7.224 c=13.273 alpha=97.05 beta=97.05 gamma=123.72
Fractional coordinates of all 14 atoms:
Tb: 0.924 0.784 0.568
Ac: 0.826 0.161 0.359
Tb: 0.257 0.392 0.932
Ac: 0.161 0.826 0.859
Ac: 0.023 0.349 0.639
Ac: 0.349 0.023 0.139
Ac: 0.514 0.295 0.712
Ac: 0.671 0.884 0.790
Tb: 0.784 0.924 0.068
Ac: 0.295 0.514 0.212
Nd: 0.403 0.779 0.501
Nd: 0.779 0.403 0.001
Tb: 0.392 0.257 0.432
Ac: 0.884 0.671 0.289

A relaxed structure of Zr2TlAs, computed with PBE.

Values from the calculation:
Volume, Å³ per cell: 85
Symmetry: Fm-3m (225)
D(E_F), states/eV/atom: 0.65
Energy of formation from the pure elements, eV per atom: -0.2338

Unit cell a=4.927 b=4.927 c=4.927 alpha=60.00 beta=60.00 gamma=60.00
Fractional coordinates of all 4 atoms:
Tl: 0.500 0.500 0.500
As: 0.000 0.000 0.000
Zr: 0.750 0.750 0.750
Zr: 0.250 0.250 0.250

A relaxed structure of CeCu2Pd, computed with PBE.

Values from the calculation:
Volume, Å³ per cell: 143
Symmetry: Cmcm (63)
D(E_F), states/eV/atom: 1.39
Energy of formation from the pure elements, eV per atom: -0.3506

Unit cell a=4.342 b=5.345 c=6.737 alpha=90.00 beta=90.00 gamma=114.03
Each line ends with the local moment (μB).
Fractional coordinates of all 8 atoms:
Cu: 0.622 0.244 0.938  0.00
Ce: 0.913 0.826 0.750  0.50
Cu: 0.378 0.756 0.062  0.00
Cu: 0.622 0.244 0.562  0.00
Pd: 0.207 0.412 0.750  -0.01
Cu: 0.378 0.756 0.438  0.00
Ce: 0.087 0.174 0.250  0.50
Pd: 0.793 0.588 0.250  -0.01

A relaxed structure of Pr2PaSn, computed with PBE.

Values from the calculation:
Volume, Å³ per cell: 115
Symmetry: P4/mmm (123)
D(E_F), states/eV/atom: 1.45
Energy of formation from the pure elements, eV per atom: -0.1794

Unit cell a=4.685 b=4.958 c=4.958 alpha=90.00 beta=90.00 gamma=90.00
Fractional coordinates of all 4 atoms:
Pa: 0.500 0.000 0.000
Sn: 0.500 0.500 0.500
Pr: 0.000 0.000 0.500
Pr: 0.000 0.500 0.000